VASP calculation (PBE+U) on a geometry-optimized CoSnP2O8 structure.

POSCAR file:
```
CoSnP2O8
1.0
2.349 1.356 7.375
-2.349 1.356 7.375
0.000 -2.712 7.375
Co Sn P O
1 1 2 8
Direct
0.000 0.000 0.000
0.500 0.500 0.500
0.262 0.262 0.262
0.738 0.738 0.738
0.021 0.744 0.388
0.192 0.192 0.192
0.256 0.612 0.979
0.388 0.021 0.744
0.612 0.979 0.256
0.744 0.388 0.021
0.808 0.808 0.808
0.979 0.256 0.612
```

Summary:
DFT total energy (eV/cell): -78.57
Total magnetic moment (Bohr magnetons per cell): 0.98
Calculated volume (A^3/atom): 11.74
Energy above the most stable polymorph in this dataset (eV/f.u.): 3.51
Space group: R-3, No. 148
Density (g cm⁻³): 4.33